No. 1
# PbAuCl2 GGA-PBEsol optimized geometry
# **Theoretical density**: 8.961 g/cm3
# **Formation energy from raw total energies**: -0.94 eV/f.u.
# **Crystal system**: cubic
data_PbAuCl2
_chemical_formula_sum 'Pb4 Au4 Cl8'
_cell_length_a 7.062
_cell_length_b 7.062
_cell_length_c 7.062
_cell_angle_alpha 90.00
_cell_angle_beta 90.00
_cell_angle_gamma 90.00
_symmetry_space_group_name_H-M 'F m -3 m'
_symmetry_Int_Tables_number 225
_symmetry_space_group_name_Hall '-F 4 2 3'
loop_
_atom_site_label
_atom_site_type_symbol
_atom_site_fract_x
_atom_site_fract_y
_atom_site_fract_z
Pb1 Pb 0.000 0.000 0.000
Au1 Au 0.000 0.000 0.500
Cl1 Cl 0.250 0.250 0.250

---

No. 2
# TaPbAuCl2 GGA-PBEsol optimized geometry
# **Theoretical density**: 7.207 g/cm3
# **Formation energy from raw total energies**: 5.92 eV/f.u.
# **Crystal system**: tetragonal
data_TaPbAuCl2
_chemical_formula_sum 'Ta1 Pb1 Au1 Cl2'
_cell_length_a 5.106
_cell_length_b 5.106
_cell_length_c 5.797
_cell_angle_alpha 90.00
_cell_angle_beta 90.00
_cell_angle_gamma 90.00
_symmetry_space_group_name_H-M 'P 4/m m m'
_symmetry_Int_Tables_number 123
_symmetry_space_group_name_Hall '-P 4 2'
loop_
_atom_site_label
_atom_site_type_symbol
_atom_site_fract_x
_atom_site_fract_y
_atom_site_fract_z
Ta1 Ta 0.000 0.000 0.000
Pb1 Pb 0.000 0.000 0.500
Au1 Au 0.500 0.500 0.000
Cl1 Cl 0.000 0.500 0.500

---

No. 3
# Rb2PdAuCl GGA-PBEsol optimized geometry
# **Theoretical density**: 4.321 g/cm3
# **Formation energy from raw total energies**: 0.80 eV/f.u.
# **Crystal system**: tetragonal
data_Rb2PdAuCl
_chemical_formula_sum 'Rb2 Pd1 Au1 Cl1'
_cell_length_a 6.449
_cell_length_b 6.449
_cell_length_c 4.711
_cell_angle_alpha 90.00
_cell_angle_beta 90.00
_cell_angle_gamma 90.00
_symmetry_space_group_name_H-M 'P 4/m m m'
_symmetry_Int_Tables_number 123
_symmetry_space_group_name_Hall '-P 4 2'
loop_
_atom_site_label
_atom_site_type_symbol
_atom_site_fract_x
_atom_site_fract_y
_atom_site_fract_z
Rb1 Rb 0.000 0.500 0.000
Pd1 Pd 0.000 0.000 0.500
Au1 Au 0.500 0.500 0.000
Cl1 Cl 0.500 0.500 0.500

---

No. 4
# PdAuSCl2 GGA-PBEsol optimized geometry
# **Theoretical density**: 6.603 g/cm3
# **Formation energy from raw total energies**: 1.73 eV/f.u.
# **Crystal system**: tetragonal
data_PdAuSCl2
_chemical_formula_sum 'Pd1 Au1 S1 Cl2'
_cell_length_a 4.666
_cell_length_b 4.666
_cell_length_c 4.695
_cell_angle_alpha 90.00
_cell_angle_beta 90.00
_cell_angle_gamma 90.00
_symmetry_space_group_name_H-M 'P 4/m m m'
_symmetry_Int_Tables_number 123
_symmetry_space_group_name_Hall '-P 4 2'
loop_
_atom_site_label
_atom_site_type_symbol
_atom_site_fract_x
_atom_site_fract_y
_atom_site_fract_z
Pd1 Pd 0.000 0.000 0.000
Au1 Au 0.500 0.500 0.500
S1 S 0.000 0.000 0.500
Cl1 Cl 0.000 0.500 0.000

---

No. 5
# PtAuCl2 GGA-PBEsol optimized geometry
# **Theoretical density**: 9.049 g/cm3
# **Formation energy from raw total energies**: 1.02 eV/f.u.
# **Crystal system**: tetragonal
data_PtAuCl2
_chemical_formula_sum 'Pt4 Au4 Cl8'
_cell_length_a 8.039
_cell_length_b 8.039
_cell_length_c 5.259
_cell_angle_alpha 90.00
_cell_angle_beta 90.00
_cell_angle_gamma 90.00
_symmetry_space_group_name_H-M 'I -4 2 d'
_symmetry_Int_Tables_number 122
_symmetry_space_group_name_Hall 'I -4 2bw'
loop_
_atom_site_label
_atom_site_type_symbol
_atom_site_fract_x
_atom_site_fract_y
_atom_site_fract_z
Pt1 Pt 0.000 0.000 0.000
Au1 Au 0.000 0.000 0.500
Cl1 Cl 0.131 0.750 0.125

---

No. 6
# PtAuCl3 GGA-PBEsol optimized geometry
# **Theoretical density**: 7.720 g/cm3
# **Formation energy from raw total energies**: 1.24 eV/f.u.
# **Crystal system**: cubic
data_PtAuCl3
_chemical_formula_sum 'Pt1 Au1 Cl3'
_cell_length_a 4.751
_cell_length_b 4.751
_cell_length_c 4.751
_cell_angle_alpha 90.00
_cell_angle_beta 90.00
_cell_angle_gamma 90.00
_symmetry_space_group_name_H-M 'P m -3 m'
_symmetry_Int_Tables_number 221
_symmetry_space_group_name_Hall '-P 4 2 3'
loop_
_atom_site_label
_atom_site_type_symbol
_atom_site_fract_x
_atom_site_fract_y
_atom_site_fract_z
Pt1 Pt 0.000 0.000 0.000
Au1 Au 0.500 0.500 0.500
Cl1 Cl 0.000 0.000 0.500

---

No. 7
# Pt2AuCl GGA-PBEsol optimized geometry
# **Theoretical density**: 16.201 g/cm3
# **Formation energy from raw total energies**: 1.37 eV/f.u.
# **Crystal system**: trigonal
data_Pt2AuCl
_chemical_formula_sum 'Pt6 Au3 Cl3'
_cell_length_a 2.9847
_cell_length_b 2.9847
_cell_length_c 24.8139
_cell_angle_alpha 90.00
_cell_angle_beta 90.00
_cell_angle_gamma 120.00
_symmetry_space_group_name_H-M 'R -3 m'
_symmetry_Int_Tables_number 166
_symmetry_space_group_name_Hall '-R 3 2"'
loop_
_atom_site_label
_atom_site_type_symbol
_atom_site_fract_x
_atom_site_fract_y
_atom_site_fract_z
Pt1 Pt 0.0000 0.0000 0.2476
Au1 Au 0.0000 0.0000 0.0000
Cl1 Cl 0.0000 0.0000 0.5000

---

No. 8
# PtAuSCl2 GGA-PBEsol optimized geometry
# **Theoretical density**: 7.870 g/cm3
# **Formation energy from raw total energies**: 2.11 eV/f.u.
# **Crystal system**: tetragonal
data_PtAuSCl2
_chemical_formula_sum 'Pt1 Au1 S1 Cl2'
_cell_length_a 4.775
_cell_length_b 4.775
_cell_length_c 4.581
_cell_angle_alpha 90.00
_cell_angle_beta 90.00
_cell_angle_gamma 90.00
_symmetry_space_group_name_H-M 'P 4/m m m'
_symmetry_Int_Tables_number 123
_symmetry_space_group_name_Hall '-P 4 2'
loop_
_atom_site_label
_atom_site_type_symbol
_atom_site_fract_x
_atom_site_fract_y
_atom_site_fract_z
Pt1 Pt 0.000 0.000 0.000
Au1 Au 0.500 0.500 0.500
S1 S 0.000 0.000 0.500
Cl1 Cl 0.000 0.500 0.000

---

No. 9
# Rb3Au3Cl8 GGA-PBEsol optimized geometry
# **Theoretical density**: 4.877 g/cm3
# **Formation energy from raw total energies**: -14.34 eV/f.u.
# **Crystal system**: monoclinic
data_Rb3Au3Cl8
_chemical_formula_sum 'Rb12 Au12 Cl32'
_cell_length_a 11.662
_cell_length_b 7.562
_cell_length_c 17.727
_cell_angle_alpha 90.00
_cell_angle_beta 99.84
_cell_angle_gamma 90.00
_symmetry_space_group_name_H-M 'C 1 2/c 1'
_symmetry_Int_Tables_number 15
loop_
_symmetry_equiv_pos_as_xyz
'x,y,z'
'-x,-y,-z'
'-x,y,-z+1/2'
'x,-y,z+1/2'
'x+1/2,y+1/2,z'
'-x+1/2,-y+1/2,-z'
'-x+1/2,y+1/2,-z+1/2'
'x+1/2,-y+1/2,z+1/2'
loop_
_atom_site_label
_atom_site_type_symbol
_atom_site_fract_x
_atom_site_fract_y
_atom_site_fract_z
Rb1 Rb 0.000 0.010 0.250
Rb2 Rb 0.180 0.481 0.072
Au1 Au 0.000 0.000 0.000
Au2 Au 0.109 0.499 0.806
Cl1 Cl 0.036 0.296 0.881
Cl2 Cl 0.068 0.217 0.426
Cl3 Cl 0.184 0.018 0.077
Cl4 Cl 0.203 0.302 0.241

---

No. 10
# Rb2SbAuCl6 GGA-PBEsol optimized geometry
# **Theoretical density**: 4.035 g/cm3
# **Formation energy from raw total energies**: -11.22 eV/f.u.
# **Crystal system**: cubic
data_Rb2SbAuCl6
_chemical_formula_sum 'Rb8 Sb4 Au4 Cl24'
_cell_length_a 10.496
_cell_length_b 10.496
_cell_length_c 10.496
_cell_angle_alpha 90.00
_cell_angle_beta 90.00
_cell_angle_gamma 90.00
_symmetry_space_group_name_H-M 'F m -3 m'
_symmetry_Int_Tables_number 225
_symmetry_space_group_name_Hall '-F 4 2 3'
loop_
_atom_site_label
_atom_site_type_symbol
_atom_site_fract_x
_atom_site_fract_y
_atom_site_fract_z
Rb1 Rb 0.250 0.250 0.250
Sb1 Sb 0.000 0.000 0.000
Au1 Au 0.000 0.000 0.500
Cl1 Cl 0.000 0.000 0.251

---

No. 11
# Rb2ScAuCl6 GGA-PBEsol optimized geometry
# **Theoretical density**: 3.864 g/cm3
# **Formation energy from raw total energies**: -16.06 eV/f.u.
# **Crystal system**: cubic
data_Rb2ScAuCl6
_chemical_formula_sum 'Rb8 Sc4 Au4 Cl24'
_cell_length_a 10.245
_cell_length_b 10.245
_cell_length_c 10.245
_cell_angle_alpha 90.00
_cell_angle_beta 90.00
_cell_angle_gamma 90.00
_symmetry_space_group_name_H-M 'F m -3 m'
_symmetry_Int_Tables_number 225
_symmetry_space_group_name_Hall '-F 4 2 3'
loop_
_atom_site_label
_atom_site_type_symbol
_atom_site_fract_x
_atom_site_fract_y
_atom_site_fract_z
Rb1 Rb 0.250 0.250 0.250
Sc1 Sc 0.000 0.000 0.000
Au1 Au 0.000 0.000 0.500
Cl1 Cl 0.000 0.000 0.241

---

No. 12
# RbAuSe2Cl GGA-PBEsol optimized geometry
# **Theoretical density**: 4.525 g/cm3
# **Formation energy from raw total energies**: -0.94 eV/f.u.
# **Crystal system**: tetragonal
data_RbAuSe2Cl
_chemical_formula_sum 'Rb1 Au1 Se2 Cl1'
_cell_length_a 4.873
_cell_length_b 4.873
_cell_length_c 7.353
_cell_angle_alpha 90.00
_cell_angle_beta 90.00
_cell_angle_gamma 90.00
_symmetry_space_group_name_H-M 'P 4/m m m'
_symmetry_Int_Tables_number 123
_symmetry_space_group_name_Hall '-P 4 2'
loop_
_atom_site_label
_atom_site_type_symbol
_atom_site_fract_x
_atom_site_fract_y
_atom_site_fract_z
Rb1 Rb 0.000 0.000 0.000
Au1 Au 0.000 0.000 0.500
Se1 Se 0.000 0.500 0.500
Cl1 Cl 0.500 0.500 0.000

---

No. 13
# Rb2TlAuCl6 GGA-PBEsol optimized geometry
# **Theoretical density**: 4.579 g/cm3
# **Formation energy from raw total energies**: -10.92 eV/f.u.
# **Crystal system**: cubic
data_Rb2TlAuCl6
_chemical_formula_sum 'Rb8 Tl4 Au4 Cl24'
_cell_length_a 10.442
_cell_length_b 10.442
_cell_length_c 10.442
_cell_angle_alpha 90.00
_cell_angle_beta 90.00
_cell_angle_gamma 90.00
_symmetry_space_group_name_H-M 'F m -3 m'
_symmetry_Int_Tables_number 225
_symmetry_space_group_name_Hall '-F 4 2 3'
loop_
_atom_site_label
_atom_site_type_symbol
_atom_site_fract_x
_atom_site_fract_y
_atom_site_fract_z
Rb1 Rb 0.250 0.250 0.250
Tl1 Tl 0.000 0.000 0.000
Au1 Au 0.000 0.000 0.500
Cl1 Cl 0.000 0.000 0.258

---

No. 14
# Re2AuCl GGA-PBEsol optimized geometry
# **Theoretical density**: 16.349 g/cm3
# **Formation energy from raw total energies**: 5.04 eV/f.u.
# **Crystal system**: orthorhombic
data_Re2AuCl
_chemical_formula_sum 'Re4 Au2 Cl2'
_cell_length_a 5.924
_cell_length_b 7.721
_cell_length_c 2.686
_cell_angle_alpha 90.00
_cell_angle_beta 90.00
_cell_angle_gamma 90.00
_symmetry_space_group_name_H-M 'C m m m'
_symmetry_Int_Tables_number 65
_symmetry_space_group_name_Hall '-C 2 2'
loop_
_atom_site_label
_atom_site_type_symbol
_atom_site_fract_x
_atom_site_fract_y
_atom_site_fract_z
Re1 Re 0.250 0.250 0.000
Au1 Au 0.000 0.000 0.500
Cl1 Cl 0.000 0.500 0.500

---

No. 15
# ReAu3Cl GGA-PBEsol optimized geometry
# **Theoretical density**: 12.841 g/cm3
# **Formation energy from raw total energies**: 9.68 eV/f.u.
# **Crystal system**: cubic
data_ReAu3Cl
_chemical_formula_sum 'Re1 Au3 Cl1'
_cell_length_a 4.719
_cell_length_b 4.719
_cell_length_c 4.719
_cell_angle_alpha 90.00
_cell_angle_beta 90.00
_cell_angle_gamma 90.00
_symmetry_space_group_name_H-M 'P m -3 m'
_symmetry_Int_Tables_number 221
_symmetry_space_group_name_Hall '-P 4 2 3'
loop_
_atom_site_label
_atom_site_type_symbol
_atom_site_fract_x
_atom_site_fract_y
_atom_site_fract_z
Re1 Re 0.000 0.000 0.000
Au1 Au 0.000 0.500 0.500
Cl1 Cl 0.500 0.500 0.500

---

No. 16
# RhAuCl2 GGA-PBEsol optimized geometry
# **Theoretical density**: 8.852 g/cm3
# **Formation energy from raw total energies**: 1.78 eV/f.u.
# **Crystal system**: tetragonal
data_RhAuCl2
_chemical_formula_sum 'Rh2 Au2 Cl4'
_cell_length_a 3.548
_cell_length_b 3.548
_cell_length_c 11.053
_cell_angle_alpha 90.00
_cell_angle_beta 90.00
_cell_angle_gamma 90.00
_symmetry_space_group_name_H-M 'I -4 m 2'
_symmetry_Int_Tables_number 119
_symmetry_space_group_name_Hall 'I -4 -2'
loop_
_atom_site_label
_atom_site_type_symbol
_atom_site_fract_x
_atom_site_fract_y
_atom_site_fract_z
Rh1 Rh 0.000 0.000 0.000
Au1 Au 0.000 0.500 0.250
Cl1 Cl 0.000 0.000 0.500
Cl2 Cl 0.000 0.500 0.750

---

No. 17
# RhAuCl GGA-PBEsol optimized geometry
# **Theoretical density**: 10.849 g/cm3
# **Formation energy from raw total energies**: 0.77 eV/f.u.
# **Crystal system**: trigonal
data_RhAuCl
_chemical_formula_sum 'Rh1 Au1 Cl1'
_cell_length_a 3.1851
_cell_length_b 3.1851
_cell_length_c 5.8422
_cell_angle_alpha 90.00
_cell_angle_beta 90.00
_cell_angle_gamma 120.00
_symmetry_space_group_name_H-M 'P 3 m 1'
_symmetry_Int_Tables_number 156
loop_
_symmetry_equiv_pos_as_xyz
'x,y,z'
'-y,x-y,z'
'-x+y,-x,z'
'-y,-x,z'
'-x+y,y,z'
'x,x-y,z'
loop_
_atom_site_label
_atom_site_type_symbol
_atom_site_fract_x
_atom_site_fract_y
_atom_site_fract_z
Rh1 Rh 0.0000 0.0000 0.0000
Au1 Au 0.3333 0.6667 0.6710
Cl1 Cl 0.6667 0.3333 0.2508

---

No. 18
# RhAu2Cl GGA-PBEsol optimized geometry
# **Theoretical density**: 13.363 g/cm3
# **Formation energy from raw total energies**: 2.22 eV/f.u.
# **Crystal system**: cubic
data_RhAu2Cl
_chemical_formula_sum 'Rh4 Au8 Cl4'
_cell_length_a 6.420
_cell_length_b 6.420
_cell_length_c 6.420
_cell_angle_alpha 90.00
_cell_angle_beta 90.00
_cell_angle_gamma 90.00
_symmetry_space_group_name_H-M 'F -4 3 m'
_symmetry_Int_Tables_number 216
_symmetry_space_group_name_Hall 'F -4 2 3'
loop_
_atom_site_label
_atom_site_type_symbol
_atom_site_fract_x
_atom_site_fract_y
_atom_site_fract_z
Rh1 Rh 0.000 0.000 0.000
Au1 Au 0.000 0.000 0.500
Au2 Au 0.250 0.250 0.250
Cl1 Cl 0.250 0.250 0.750

---

No. 19
# Rh2AuCl2 GGA-PBEsol optimized geometry
# **Theoretical density**: 9.240 g/cm3
# **Formation energy from raw total energies**: 3.03 eV/f.u.
# **Crystal system**: tetragonal
data_Rh2AuCl2
_chemical_formula_sum 'Rh4 Au2 Cl4'
_cell_length_a 4.519
_cell_length_b 4.519
_cell_length_c 8.338
_cell_angle_alpha 90.00
_cell_angle_beta 90.00
_cell_angle_gamma 90.00
_symmetry_space_group_name_H-M 'I 4/m m m'
_symmetry_Int_Tables_number 139
_symmetry_space_group_name_Hall '-I 4 2'
loop_
_atom_site_label
_atom_site_type_symbol
_atom_site_fract_x
_atom_site_fract_y
_atom_site_fract_z
Rh1 Rh 0.000 0.500 0.250
Au1 Au 0.000 0.000 0.000
Cl1 Cl 0.000 0.000 0.333

---

No. 20
# RhAu2Cl GGA-PBEsol optimized geometry
# **Theoretical density**: 13.145 g/cm3
# **Formation energy from raw total energies**: 2.05 eV/f.u.
# **Crystal system**: tetragonal
data_RhAu2Cl
_chemical_formula_sum 'Rh1 Au2 Cl1'
_cell_length_a 3.744
_cell_length_b 3.744
_cell_length_c 4.798
_cell_angle_alpha 90.00
_cell_angle_beta 90.00
_cell_angle_gamma 90.00
_symmetry_space_group_name_H-M 'P 4/m m m'
_symmetry_Int_Tables_number 123
_symmetry_space_group_name_Hall '-P 4 2'
loop_
_atom_site_label
_atom_site_type_symbol
_atom_site_fract_x
_atom_site_fract_y
_atom_site_fract_z
Rh1 Rh 0.000 0.000 0.000
Au1 Au 0.000 0.500 0.500
Cl1 Cl 0.500 0.500 0.000